The following is a DFT calculation (PBE) of LiBeCd after structural relaxation.

```
3
Lattice="-1.269 3.492 -1.924 -3.254 -0.124 -2.626 -3.628 1.782 1.079" Properties=species:S:1:pos:R:3 pbc="T T T"
Be -6.114 3.863 -2.603
Cd 0.000 0.000 0.000
Li -4.076 2.575 -1.735
```

**E above lowest polymorph**: 184 meV per atom
**DOS at the Fermi energy**: 2.3 states/eV/f.u.
**ΔH_f (0 K)**: 1.0 eV per formula unit
**Uncorrected energy**: -1.85 eV/atom
**Theoretical density**: 4.12 g/cm³

=====

The following is a DFT calculation (PBE) of Li2BeCd after structural relaxation.

```
4
Lattice="3.080 0.000 0.000 0.000 3.080 0.000 0.000 0.000 6.481" Properties=species:S:1:pos:R:3 pbc="T T T"
Be 0.000 0.000 3.171
Cd 1.540 1.540 4.683
Li 0.000 0.000 0.050
Li 1.540 1.540 1.818
```

**E above lowest polymorph**: 72 meV per atom
**DOS at the Fermi energy**: 1.1 states/eV/f.u.
**ΔH_f (0 K)**: 0.4 eV per formula unit
**Uncorrected energy**: -2.02 eV/atom
**Theoretical density**: 3.65 g/cm³

=====

The following is a DFT calculation (PBE) of Li2BeCd after structural relaxation.

```
4
Lattice="-2.085 -3.056 2.498 2.187 -1.695 -0.248 2.718 1.358 3.929" Properties=species:S:1:pos:R:3 pbc="T T T"
Be 0.184 -1.612 2.169
Cd 2.636 -1.781 4.010
Li 0.102 -0.022 0.059
Li 2.350 -0.147 1.782
```

**E above lowest polymorph**: 97 meV per atom
**DOS at the Fermi energy**: 1.1 states/eV/f.u.
**ΔH_f (0 K)**: 0.5 eV per formula unit
**Uncorrected energy**: -2.00 eV/atom
**Theoretical density**: 3.72 g/cm³

=====

no.,calculated volume (Å³ per cell)
1,51.78
2,61.50
3,60.42